First-principles (PBE-GGA) data for a geometry-optimized RbZnIn2Ir structure, as listed in Alexandria.

Output
DOS at the Fermi energy, states/eV per atom: 0.215
ΔH_f (0 K), eV per atom: -0.170
Calculated volume, Å³/atom: 27.7
Energy, eV/f.u.: -17.43

Unit cell a=5.2102 b=5.2102 c=5.1083 alpha=90.00 beta=90.00 gamma=90.00
Last column: nearest neighbours and their distance in Å.
Positions (direct):
Zn: 0.0000 0.0000 0.5000  2 Ir 2.55
Ir: 0.0000 0.0000 0.0000  2 Zn 2.55, 4 In 2.61
Rb: 0.5000 0.5000 0.5000  8 In 3.65, 4 Zn 3.68
In: 0.0000 0.5000 0.0000  2 Ir 2.61
In: 0.5000 0.0000 0.0000  2 Ir 2.61

=====

First-principles (PBE-GGA) data for a geometry-optimized HoZnIn structure, as listed in Alexandria.

Output
DOS at the Fermi energy, states/eV per atom: 0.580
ΔH_f (0 K), eV per atom: -0.252
Calculated volume, Å³/atom: 22.9
Energy, eV/f.u.: -9.35

Unit cell a=3.4621 b=3.4621 c=6.2305 alpha=106.13 beta=106.13 gamma=90.00
Last column: nearest neighbours and their distance in Å.
Positions (direct):
Zn: 0.6109 0.6109 0.2219  4 In 2.95, 4 Ho 3.07
Ho: 0.2720 0.2720 0.5439  4 Zn 3.07, 4 In 3.32
In: 0.9671 0.9671 0.9342  4 Zn 2.95

=====

First-principles (PBE-GGA) data for a geometry-optimized MnFeIr2 structure, as listed in Alexandria.

Output
ΔE to the lowest computed polymorph, eV per atom: 0.187
DOS at the Fermi energy, states/eV per atom: 1.566
ΔH_f (0 K), eV per atom: -0.003
Calculated volume, Å³/atom: 13.9
Energy, eV/f.u.: -35.37

Unit cell a=4.2873 b=4.2873 c=4.2873 alpha=60.00 beta=60.00 gamma=60.00
Last column: nearest neighbours and their distance in Å.
Positions (direct):
Ir: 0.2500 0.2500 0.2500  4 Fe 2.63, 4 Mn 2.63
Ir: 0.7500 0.7500 0.7500  4 Mn 2.63, 4 Fe 2.63
Fe: 0.5000 0.5000 0.5000  8 Ir 2.63
Mn: 0.0000 0.0000 0.0000  8 Ir 2.63